DFT (GGA-PBE) results for a geometry-optimized K3Sm3SbO8 structure.

Results
Space-group type: R-3m (166)
Total magnetization, μB per formula unit: 0.00
Theoretical density, g/cm³: 4.98
DOS at the Fermi energy, states/eV/cell: 1.786

Unit cell a=7.539 b=7.539 c=7.539 alpha=55.72 beta=55.72 gamma=55.72
Atoms (fractional coordinates):
K 0.000 0.500 0.500
K 0.500 0.000 0.500
K 0.500 0.500 0.000
Sm 0.000 0.000 0.500
Sm 0.000 0.500 0.000
Sm 0.500 0.000 0.000
Sb 0.500 0.500 0.500
O 0.228 0.228 0.228
O 0.253 0.712 0.712
O 0.288 0.288 0.747
O 0.288 0.747 0.288
O 0.712 0.253 0.712
O 0.712 0.712 0.253
O 0.747 0.288 0.288
O 0.772 0.772 0.772

---

DFT (GGA-PBE) results for a geometry-optimized K2SnSbO6 structure.

Results
Space-group type: Fm-3m (225)
Total magnetization, μB per formula unit: 0.61
Theoretical density, g/cm³: 5.04
DOS at the Fermi energy, states/eV/cell: 6.072

Unit cell a=5.781 b=5.781 c=5.781 alpha=60.00 beta=60.00 gamma=60.00
Atoms (fractional coordinates):
K 0.250 0.250 0.250
K 0.750 0.750 0.750
Sn 0.000 0.000 0.000
Sb 0.500 0.500 0.500
O 0.255 0.255 0.745
O 0.255 0.745 0.255
O 0.255 0.745 0.745
O 0.745 0.255 0.255
O 0.745 0.255 0.745
O 0.745 0.745 0.255

---

DFT (GGA-PBE) results for a geometry-optimized KSn2SbO8 structure.

Results
Space-group type: P-1 (2)
Total magnetization, μB per formula unit: 0.04
Theoretical density, g/cm³: 4.82

Unit cell a=4.760 b=4.762 c=8.021 alpha=92.67 beta=92.49 gamma=92.54
Atoms (fractional coordinates):
K 0.000 0.000 0.000
Sn 0.489 0.488 0.307
Sn 0.511 0.512 0.693
Sb 0.000 0.000 0.500
O 0.182 0.181 0.309
O 0.207 0.208 0.699
O 0.295 0.704 0.500
O 0.415 0.411 0.053
O 0.585 0.589 0.947
O 0.705 0.296 0.500
O 0.793 0.792 0.301
O 0.818 0.819 0.691

---

DFT (GGA-PBE) results for a geometry-optimized K2Sr5Sb3O2 structure.

Results
Space-group type: I4/mmm (139)
Total magnetization, μB per formula unit: 0.00
Theoretical density, g/cm³: 3.96
DOS at the Fermi energy, states/eV/cell: 6.601

Unit cell a=15.401 b=15.401 c=15.401 alpha=161.09 beta=161.09 gamma=26.87
Atoms (fractional coordinates):
K 0.209 0.209 0.000
K 0.791 0.791 0.000
Sr 0.000 0.000 0.000
Sr 0.094 0.594 0.500
Sr 0.406 0.906 0.500
Sr 0.594 0.094 0.500
Sr 0.906 0.406 0.500
Sb 0.331 0.331 0.000
Sb 0.500 0.500 0.000
Sb 0.669 0.669 0.000
O 0.082 0.082 0.000
O 0.918 0.918 0.000

---

Number 1: formation energy without anion corrections -2.40 eV/atom. Number 2: formation energy without anion corrections -1.42 eV/atom. Number 3: formation energy without anion corrections -1.27 eV/atom. Number 4: formation energy without anion corrections -1.43 eV/atom.